# 1
Compound: BaHgBi2Pt
Source: the Alexandria database
Functional: PBE
Structure: optimized geometry

The structure belongs to space group P4mm (No. 99); the cell edges are 5.120, 5.120 and 6.899 Å and the angles 90.00°, 90.00° and 90.00°. Symmetry generates all atoms from Ba at (0.000, 0.000, 0.000), Hg at (0.500, 0.500, 0.091), Bi at (0.000, 0.500, 0.428) and Pt at (0.000, 0.000, 0.563).

The electronic total energy is -3.520 eV/atom.



# 2
Compound: U2CrGa8
Source: the Alexandria database
Functional: PBE
Structure: optimized geometry

The structure belongs to space group P4/mmm (No. 123); the cell edges are 4.295, 4.295 and 11.143 Å and the angles 90.00°, 90.00° and 90.00°. Symmetry generates all atoms from U at (0.000, 0.000, 0.191), Cr at (0.000, 0.000, 0.500), Ga at (0.000, 0.500, 0.000), Ga at (0.000, 0.500, 0.376) and Ga at (0.500, 0.500, 0.188).

The electronic total energy is -5.309 eV/atom.



# 3
Compound: BaBr
Source: the Alexandria database
Functional: PBE
Structure: optimized geometry

The structure belongs to space group P2_12_12_1 (No. 19); the cell edges are 7.902, 8.206 and 10.526 Å and the angles 90.00°, 90.00° and 90.00°. Symmetry generates all atoms from Ba at (0.185, 0.072, 0.286), Ba at (0.226, 0.422, 0.954), Br at (0.031, 0.643, 0.710) and Br at (0.091, 0.801, 0.056).

The value obtained for the formation energy from raw total energies is -3.1 eV per formula unit.



# 4
Compound: ThBiP
Source: the Alexandria database
Functional: PBE
Structure: optimized geometry

The structure belongs to space group I4mm (No. 107); the cell edges are 3.978, 3.978 and 11.146 Å and the angles 90.00°, 90.00° and 90.00°. Symmetry generates all atoms from Th at (0.000, 0.000, 0.000), Bi at (0.000, 0.000, 0.310) and P at (0.000, 0.000, 0.562).

The electronic total energy is -6.207 eV/atom.



# 5
Compound: HgPdAu
Source: the Alexandria database
Functional: PBE
Structure: optimized geometry

The structure belongs to space group F-43m (No. 216); the cell edges are 6.370, 6.370 and 6.370 Å and the angles 90.00°, 90.00° and 90.00°. Symmetry generates all atoms from Hg at (0.000, 0.000, 0.000), Pd at (0.250, 0.250, 0.250) and Au at (0.000, 0.000, 0.500).

The electronic total energy is -2.865 eV/atom.



# 6
Compound: CaBiH
Source: the Alexandria database
Functional: PBE
Structure: optimized geometry

The structure belongs to space group Pnma (No. 62); the cell edges are 8.454, 8.169 and 4.385 Å and the angles 90.00°, 90.00° and 90.00°. Symmetry generates all atoms from Ca at (0.000, 0.000, 0.000), Bi at (0.190, 0.250, 0.472) and H at (0.128, 0.250, 0.898).

The electronic total energy is -3.447 eV/atom.



# 7
Compound: LiPmDyNi
Source: the Alexandria database
Functional: PBE
Structure: optimized geometry

The structure belongs to space group F-43m (No. 216); the cell edges are 7.055, 7.055 and 7.055 Å and the angles 90.00°, 90.00° and 90.00°. Symmetry generates all atoms from Li at (0.000, 0.000, 0.000), Pm at (0.250, 0.250, 0.750), Dy at (0.250, 0.250, 0.250) and Ni at (0.000, 0.000, 0.500).

The electronic total energy is -4.359 eV/atom.



# 8
Compound: DySbC
Source: the Alexandria database
Functional: PBE
Structure: optimized geometry

The structure belongs to space group Immm (No. 71); the cell edges are 4.326, 5.149 and 12.777 Å and the angles 90.00°, 90.00° and 90.00°. Symmetry generates all atoms from Dy at (0.000, 0.000, 0.146), Sb at (0.000, 0.000, 0.383) and C at (0.147, 0.500, 0.500).

The value obtained for the formation energy from raw total energies is 0.2 eV per formula unit.



# 9
Compound: AcY2ThAs4
Source: the Alexandria database
Functional: PBE
Structure: optimized geometry

The structure belongs to space group P2/m (No. 10); the cell edges are 7.343, 4.266 and 7.409 Å and the angles 90.00°, 109.47° and 90.00°. Symmetry generates all atoms from Ac at (0.000, 0.000, 0.000), Y at (0.500, 0.000, 0.500), Y at (0.500, 0.500, 0.000), Th at (0.000, 0.500, 0.500), As at (0.261, 0.000, 0.745) and As at (0.266, 0.500, 0.265).

The electronic total energy is -6.867 eV/atom.



# 10
Compound: CdFe2Cl
Source: the Alexandria database
Functional: PBE
Structure: optimized geometry

The structure belongs to space group C2/m (No. 12); the cell edges are 9.670, 2.970 and 7.518 Å and the angles 90.00°, 129.03° and 90.00°. Symmetry generates all atoms from Cd at (0.000, 0.000, 0.000), Fe at (0.153, 0.500, 0.846) and Cl at (0.000, 0.000, 0.500).

The value obtained for the formation energy from raw total energies is 0.7 eV per formula unit.



# 11
Compound: Ag3SI
Source: the Alexandria database
Functional: PBE
Structure: optimized geometry

The structure belongs to space group P2_1/c (No. 14); the cell edges are 10.008, 6.952 and 9.155 Å and the angles 90.00°, 107.88° and 90.00°. Symmetry generates all atoms from Ag at (0.014, 0.084, 0.271), Ag at (0.140, 0.139, 0.019), Ag at (0.409, 0.505, 0.338), S at (0.162, 0.155, 0.749) and I at (0.341, 0.699, 0.604).

The value obtained for the formation energy from raw total energies is -0.4 eV per formula unit.



# 12
Compound: Mn5Pb3
Source: the Alexandria database
Functional: PBE
Structure: optimized geometry

The structure belongs to space group P6_3/mcm (No. 193); the cell edges are 8.2971, 8.2971 and 5.2930 Å and the angles 90.00°, 90.00° and 120.00°. Symmetry generates all atoms from Mn at (0.0000, 0.1937, 0.2500), Mn at (0.3333, 0.6667, 0.0000) and Pb at (0.0000, 0.3883, 0.7500).

The electronic total energy is -6.602 eV/atom.